PmZn3Ga4: relaxed, PBE-GGA.

The calculation puts the total energy at -2.86 eV/atom. The formation energy from the elements is -0.273 eV per atom. For the total magnetic moment, the calculation gives 0.0 μB/f.u.

Cell: 4.382 4.382 7.852 Å, 90.00 90.00 90.00°
Positions (direct):
Pm1 0.000 0.000 0.000
Zn1 0.000 0.000 0.500
Zn2 0.500 0.500 0.151
Zn3 0.500 0.500 0.849
Ga1 0.000 0.500 0.322
Ga2 0.000 0.500 0.678
Ga3 0.500 0.000 0.322
Ga4 0.500 0.000 0.678